[1]
## Cs2HfSn (PBE)

Data for Cs2HfSn after structural relaxation.

ΔH_f (0 K)	1.146	eV per atom
uncorrected energy	-11.08	eV/f.u.

a b c (Å): 6.138 6.138 6.138
angles (deg): 60.00 60.00 60.00
Fractional coordinates of all 4 atoms:
Cs 0.250 0.250 0.250
Cs 0.750 0.750 0.750
Hf 0.500 0.500 0.500
Sn 0.000 0.000 0.000

---

[2]
## CsSrHf3 (PBE)

Data for CsSrHf3 after structural relaxation.

ΔH_f (0 K)	2.140	eV per atom
uncorrected energy	-21.70	eV/f.u.

a b c (Å): 5.610 5.610 5.610
angles (deg): 90.00 90.00 90.00
Last column: magnetic moment on the atom in μB.
Fractional coordinates of all 5 atoms:
Cs 0.500 0.500 0.500  0.04
Sr 0.000 0.000 0.000  0.17
Hf 0.000 0.500 0.000  0.54
Hf 0.000 0.000 0.500  0.56
Hf 0.500 0.000 0.000  0.55

---

[3]
## Cs2Sr2Hf (PBE)

Data for Cs2Sr2Hf after structural relaxation.

ΔH_f (0 K)	0.993	eV per atom
uncorrected energy	-10.06	eV/f.u.

a b c (Å): 4.818 4.818 11.748
angles (deg): 78.17 78.17 90.00
Last column: magnetic moment on the atom in μB.
Fractional coordinates of all 5 atoms:
Cs 0.750 0.250 0.500  0.00
Cs 0.250 0.750 0.500  0.00
Sr 0.420 0.420 0.159  0.09
Sr 0.580 0.580 0.841  0.09
Hf 0.000 0.000 0.000  1.02

---

- Among the records above, which one has the highest uncorrected energy?
  Cs2Sr2Hf

---

- Which of these has the lowest uncorrected energy?
  CsSrHf3

---

- Among the records above, which one has the highest ΔH_f (0 K)?
  CsSrHf3

---

- Among the records above, which one has the highest ΔH_f (0 K)?
  CsSrHf3